(1)
A plane-wave DFT calculation with PBE-GGA was carried out for a geometry-optimized LiAc3B2N6 structure.

Calculated values
Final energy in eV per cell: -87.645

abc: 5.672 5.672 6.399
angles: 90.00 90.00 120.00
Fractional positions:
N 0.814 0.186 0.721
N 0.372 0.186 0.721
N 0.186 0.814 0.279
N 0.186 0.372 0.279
N 0.814 0.628 0.721
N 0.628 0.814 0.279
Ac 0.333 0.667 0.665
Ac 0.667 0.333 0.335
Ac 0.000 0.000 0.000
B 0.667 0.333 0.752
B 0.333 0.667 0.248
Li 0.000 0.000 0.500


(2)
A plane-wave DFT calculation with PBE-GGA was carried out for a geometry-optimized La3SnO structure.

Calculated values
Final energy in eV per cell: -48.816

abc: 5.529 5.529 12.745
angles: 77.47 77.47 90.00
Fractional positions:
La 0.308 0.308 0.385
La 0.122 0.880 0.757
La 0.692 0.692 0.615
La 0.637 0.878 0.243
La 0.122 0.363 0.757
La 0.120 0.878 0.243
Sn 0.000 0.000 0.000
Sn 0.250 0.750 0.500
O 0.659 0.159 0.683
O 0.841 0.341 0.317


(3)
A plane-wave DFT calculation with PBE-GGA was carried out for a geometry-optimized Ho3Tm2Cd2 structure.

Calculated values
Energy above the most stable polymorph in this dataset in eV per atom: 0.093
DFT formation energy in eV per atom: -0.055
Final energy in eV per cell: -24.893

abc: 5.051 3.439 11.507
angles: 90.00 77.32 90.00
Fractional positions:
Ho 0.148 0.000 0.703
Ho 0.000 0.000 0.000
Ho 0.852 0.000 0.297
Tm 0.710 0.500 0.579
Tm 0.290 0.500 0.421
Cd 0.431 0.500 0.138
Cd 0.569 0.500 0.862


(4)
A plane-wave DFT calculation with PBE-GGA was carried out for a geometry-optimized PmScZn2Pt2 structure.

Calculated values
DFT formation energy in eV per atom: -0.876
Final energy in eV per cell: -30.968

abc: 4.457 4.457 6.714
angles: 90.00 90.00 120.00
Fractional positions:
Zn 0.333 0.667 0.291
Zn 0.667 0.333 0.709
Pt 0.667 0.333 0.286
Pt 0.333 0.667 0.714
Pm 0.000 0.000 0.000
Sc 0.000 0.000 0.500


Q: final energy of number 3 (Ho3Tm2Cd2)?
A: -24.893 eV per cell


Repeat the fourth record exactly.
A plane-wave DFT calculation with PBE-GGA was carried out for a geometry-optimized PmScZn2Pt2 structure.

Calculated values
DFT formation energy in eV per atom: -0.876
Final energy in eV per cell: -30.968

abc: 4.457 4.457 6.714
angles: 90.00 90.00 120.00
Fractional positions:
Zn 0.333 0.667 0.291
Zn 0.667 0.333 0.709
Pt 0.667 0.333 0.286
Pt 0.333 0.667 0.714
Pm 0.000 0.000 0.000
Sc 0.000 0.000 0.500


Q: The highest final energy belongs to which entry?
A: Ho3Tm2Cd2


Q: Which of these has the highest final energy?
A: Ho3Tm2Cd2